LaGa2Se4 | Alexandria | PBE | relaxed; magnetization = 0.016 μB/f.u.; formation energy from raw total energies = -0.8481 eV/atom
1.0
-6.004 2.164 0.077
1.836 -3.918 -4.692
0.559 -3.461 5.333
La Se Ga
1 4 2
direct
0.500 0.500 0.000 La
0.687 0.836 0.523 Se
0.313 0.164 0.477 Se
0.836 0.313 0.148 Se
0.164 0.687 0.852 Se
0.750 0.250 0.500 Ga
0.250 0.750 0.500 Ga